[1]
Computed, not measured: a geometry-optimized Pr2ErNpAs4 structure at the GGA-PBE level of DFT.

Calculated values
spin magnetization	0.467	μB per atom
formation energy	-1285	meV per atom

Cell lengths 4.195, 7.262, 7.278 Å; angles 109.30, 90.00, 90.00 degrees
Site moments in Bohr magnetons follow the coordinates.
Positions (direct):
Np  0.000  0.000  0.000  3.63
As  0.500  0.756  0.765  -0.06
As  0.000  0.253  0.766  -0.04
As  0.500  0.244  0.235  -0.06
As  0.000  0.747  0.234  -0.04
Er  0.500  0.500  0.000  0.00
Pr  0.000  0.500  0.500  0.03
Pr  0.500  0.000  0.500  0.03

=====

[2]
Computed, not measured: a geometry-optimized InAgAu structure at the GGA-PBE level of DFT.

Calculated values
distance to the lowest polymorph of the same formula	0.0377	eV per atom
spin magnetization	0.000	μB per atom
formation energy	-68	meV per atom

Cell lengths 4.597, 4.597, 4.597 Å; angles 60.00, 60.00, 60.00 degrees
Positions (direct):
In  0.000  0.000  0.000
Ag  0.500  0.500  0.500
Au  0.750  0.750  0.750

=====

[3]
Computed, not measured: a geometry-optimized YSi2Rh2 structure at the GGA-PBE level of DFT.

Calculated values
E_form (uncorrected)	-5.64	eV/f.u.
spin magnetization	0.000	μB per atom

Cell lengths 4.066, 4.066, 5.765 Å; angles 69.35, 69.35, 90.00 degrees
Positions (direct):
Rh  0.250  0.750  0.500
Rh  0.750  0.250  0.500
Si  0.378  0.378  0.244
Si  0.622  0.622  0.756
Y  0.000  0.000  0.000

=====

[4]
Computed, not measured: a geometry-optimized YAlZnFe2 structure at the GGA-PBE level of DFT.

Calculated values
spin magnetization	0.889	μB per atom
formation energy	1547	meV per atom

Cell lengths 4.736, 5.224, 4.736 Å; angles 90.00, 90.00, 90.00 degrees
Site moments in Bohr magnetons follow the coordinates.
Positions (direct):
Zn  0.000  0.500  0.000  -0.01
Al  0.500  0.500  0.500  0.01
Fe  0.500  0.000  0.000  2.50
Fe  0.000  0.000  0.500  2.35
Y  0.000  0.000  0.000  -0.39

=====

[5]
Computed, not measured: a geometry-optimized Ba2NaTlSe structure at the GGA-PBE level of DFT.

Calculated values
E_form (uncorrected)	-3.73	eV/f.u.
spin magnetization	0.106	μB per atom

Cell lengths 6.381, 6.381, 5.322 Å; angles 90.00, 90.00, 90.00 degrees
Site moments in Bohr magnetons follow the coordinates.
Positions (direct):
Se  0.000  0.000  0.000  0.01
Tl  0.500  0.500  0.500  0.06
Ba  0.000  0.500  0.000  0.02
Ba  0.500  0.000  0.000  0.02
Na  0.000  0.000  0.500  0.00

=====

[6]
Computed, not measured: a geometry-optimized CeDyZrCd structure at the GGA-PBE level of DFT.

Calculated values
spin magnetization	0.212	μB per atom
formation energy	62	meV per atom

Cell lengths 5.296, 5.296, 5.296 Å; angles 60.00, 60.00, 60.00 degrees
Site moments in Bohr magnetons follow the coordinates.
Positions (direct):
Ce  0.000  0.000  0.000  0.14
Dy  0.500  0.500  0.500  0.14
Cd  0.750  0.750  0.750  -0.01
Zr  0.250  0.250  0.250  0.36

=====

no.,calculated volume (Å³/atom)
1,26.2
2,22.9
3,16.5
4,23.4
5,43.3
6,26.3